TaZn2O2 | PBE | optimized geometry

Cell: 5.314 5.314 5.361 Å, 90.00 90.00 90.00°
Atoms (fractional coordinates):
Ta  0.000  0.000  0.000
Ta  0.500  0.500  0.000
Zn  0.178  0.322  0.500
Zn  0.322  0.822  0.500
Zn  0.678  0.178  0.500
Zn  0.822  0.678  0.500
O  0.183  0.317  0.000
O  0.317  0.817  0.000
O  0.683  0.183  0.000
O  0.817  0.683  0.000

## Properties
total magnetic moment = 0.0 μB per cell
total DFT energy (no corrections) = -6.037 eV/atom
mass density = 7.5 g/cm³
formation energy from raw total energies = -1.174 eV/atom

***

HfTeO | PBE | optimized geometry

Cell: 8.069 8.069 5.785 Å, 90.71 90.71 24.20°
Atoms (fractional coordinates):
Hf  0.000  0.000  0.000
Hf  0.506  0.506  0.513
Te  0.646  0.646  0.845
Te  0.861  0.861  0.345
O  0.053  0.053  0.333
O  0.449  0.449  0.847

## Properties
total magnetic moment = 0.5 μB per cell
total DFT energy (no corrections) = -7.835 eV/atom
mass density = 6.9 g/cm³
formation energy from raw total energies = -1.817 eV/atom

***

Sm4CdIn2Pd | PBE | optimized geometry

Cell: 9.210 9.210 9.210 Å, 33.76 33.76 33.76°
Atoms (fractional coordinates):
Sm  0.118  0.118  0.118
Sm  0.369  0.369  0.369
Sm  0.631  0.631  0.631
Sm  0.882  0.882  0.882
Cd  0.500  0.500  0.500
In  0.244  0.244  0.244
In  0.756  0.756  0.756
Pd  0.000  0.000  0.000

## Properties
total magnetic moment = 0.0 μB per cell
formation energy = -3.977 eV per formula unit
total DFT energy (no corrections) = -4.305 eV/atom
mass density = 8.1 g/cm³

***

Ca12Pt6Pb | PBE | optimized geometry

Cell: 8.908 8.908 8.908 Å, 109.47 109.47 109.47°
Atoms (fractional coordinates):
Ca  0.126  0.820  0.306
Ca  0.180  0.306  0.486
Ca  0.180  0.694  0.874
Ca  0.306  0.126  0.820
Ca  0.306  0.486  0.180
Ca  0.486  0.180  0.306
Ca  0.514  0.820  0.694
Ca  0.694  0.514  0.820
Ca  0.694  0.874  0.180
Ca  0.820  0.306  0.126
Ca  0.820  0.694  0.514
Ca  0.874  0.180  0.694
Pt  0.130  0.630  0.500
Pt  0.370  0.500  0.870
Pt  0.500  0.130  0.630
Pt  0.500  0.870  0.370
Pt  0.630  0.500  0.130
Pt  0.870  0.370  0.500
Pb  0.000  0.000  0.000

## Properties
total magnetic moment = 0.0 μB per cell
formation energy = -12.906 eV per formula unit
total DFT energy (no corrections) = -4.046 eV/atom
mass density = 5.7 g/cm³

***

TbIn2TeO8 | PBE | optimized geometry

Cell: 4.897 4.897 6.803 Å, 90.00 90.00 90.64°
Atoms (fractional coordinates):
Tb  0.000  0.000  0.000
In  0.500  0.500  0.259
In  0.500  0.500  0.741
Te  0.000  0.000  0.500
O  0.185  0.815  0.285
O  0.185  0.815  0.715
O  0.286  0.286  0.500
O  0.319  0.319  0.000
O  0.681  0.681  0.000
O  0.714  0.714  0.500
O  0.815  0.185  0.285
O  0.815  0.185  0.715

## Properties
total magnetic moment = 0.8 μB per cell
total DFT energy (no corrections) = -6.050 eV/atom
mass density = 6.6 g/cm³
formation energy from raw total energies = -1.640 eV/atom

***

Mg2CdH24Br6O12 | PBE | optimized geometry

Cell: 8.787 8.787 8.787 Å, 71.95 71.95 71.95°
Atoms (fractional coordinates):
Mg  0.194  0.194  0.194
Mg  0.806  0.806  0.806
Cd  0.500  0.500  0.500
H  0.006  0.371  0.968
H  0.024  0.591  0.625
H  0.032  0.994  0.629
H  0.118  0.692  0.864
H  0.123  0.322  0.464
H  0.136  0.882  0.308
H  0.308  0.136  0.882
H  0.322  0.464  0.123
H  0.371  0.968  0.006
H  0.375  0.976  0.409
H  0.409  0.375  0.976
H  0.464  0.123  0.322
H  0.536  0.877  0.678
H  0.591  0.625  0.024
H  0.625  0.024  0.591
H  0.629  0.032  0.994
H  0.678  0.536  0.877
H  0.692  0.864  0.118
H  0.864  0.118  0.692
H  0.877  0.678  0.536
H  0.882  0.308  0.136
H  0.968  0.006  0.371
H  0.976  0.409  0.375
H  0.994  0.629  0.032
Br  0.230  0.350  0.660
Br  0.340  0.770  0.650
Br  0.350  0.660  0.230
Br  0.650  0.340  0.770
Br  0.660  0.230  0.350
Br  0.770  0.650  0.340
O  0.004  0.681  0.915
O  0.069  0.311  0.387
O  0.085  0.996  0.319
O  0.311  0.387  0.069
O  0.319  0.085  0.996
O  0.387  0.069  0.311
O  0.613  0.931  0.689
O  0.681  0.915  0.004
O  0.689  0.613  0.931
O  0.915  0.004  0.681
O  0.931  0.689  0.613
O  0.996  0.319  0.085

## Properties
total magnetic moment = 0.0 μB per cell
total DFT energy (no corrections) = -4.558 eV/atom
mass density = 2.4 g/cm³

***

Sr2Al3Au | PBE | optimized geometry

Cell: 9.228 9.096 6.326 Å, 70.93 68.68 40.38°
Atoms (fractional coordinates):
Sr  0.243  0.757  0.757
Sr  0.250  0.250  0.250
Sr  0.750  0.750  0.750
Sr  0.757  0.243  0.243
Al  0.165  0.666  0.334
Al  0.332  0.332  0.668
Al  0.334  0.835  0.165
Al  0.666  0.165  0.835
Al  0.668  0.668  0.332
Al  0.835  0.334  0.666
Au  0.167  0.167  0.833
Au  0.833  0.833  0.167

## Properties
total magnetic moment = 0.0 μB per cell
formation energy = -2.339 eV per formula unit
total DFT energy (no corrections) = -3.368 eV/atom
mass density = 4.7 g/cm³

***

Q: Look up the total DFT energy (no corrections) of the seventh one.
A: -3.368 eV/atom

***

What did the third record say?
Sm4CdIn2Pd | PBE | optimized geometry

Cell: 9.210 9.210 9.210 Å, 33.76 33.76 33.76°
Atoms (fractional coordinates):
Sm  0.118  0.118  0.118
Sm  0.369  0.369  0.369
Sm  0.631  0.631  0.631
Sm  0.882  0.882  0.882
Cd  0.500  0.500  0.500
In  0.244  0.244  0.244
In  0.756  0.756  0.756
Pd  0.000  0.000  0.000

## Properties
total magnetic moment = 0.0 μB per cell
formation energy = -3.977 eV per formula unit
total DFT energy (no corrections) = -4.305 eV/atom
mass density = 8.1 g/cm³

***

Q: Number 2 is which compound?
A: HfTeO